Here is a relaxed structure of TmTh6Sc2 from Alexandria via LeMat-Bulk. Energies are from PBE.

Properties
As for the theoretical density: 9.883 g/cm³. As for the calculated formation energy: 0.20 eV/atom. The space-group type is Ibam, No. 72.

Cell: 9.2675 9.0202 9.0202 Å, 75.89 59.09 59.09°
Fractional positions:
1 Th 0.6910 0.0131 0.8182
2 Th 0.7040 0.5924 0.9076
3 Th 0.2040 0.9076 0.5924
4 Th 0.4777 0.5130 0.3182
5 Th 0.5223 0.4870 0.6818
6 Th 0.1910 0.8182 0.0131
7 Th 0.9777 0.3182 0.5130
8 Th 0.3090 0.9869 0.1818
9 Th 0.0223 0.6818 0.4870
10 Th 0.2960 0.4076 0.0924
11 Th 0.7960 0.0924 0.4076
12 Th 0.8090 0.1818 0.9869
13 Tm 0.7500 0.7500 0.2500
14 Tm 0.2500 0.2500 0.7500
15 Sc 0.0556 0.6493 0.8507
16 Sc 0.9444 0.3507 0.1493
17 Sc 0.5556 0.8507 0.6493
18 Sc 0.4444 0.1493 0.3507